# 1
The following is a GGA-PBE calculation of a relaxed structure of PmTm2In2Ag2, from Alexandria.

abc: 4.865 4.865 9.263
angles: 74.78 74.78 60.00
Element x y z (fractional)
Pm: 0.000 0.000 0.000
Tm: 0.128 0.128 0.617
Tm: 0.872 0.872 0.383
In: 0.743 0.743 0.772
In: 0.257 0.257 0.228
Ag: 0.592 0.592 0.223
Ag: 0.408 0.408 0.777

Computed properties:
- Magnetic moment: 0.00 μB per atom

# 2
The following is a GGA-PBE calculation of a relaxed structure of PmTmInAg, from Alexandria.

abc: 5.289 5.289 5.289
angles: 60.00 60.00 60.00
Element x y z (fractional)
Tm: 0.500 0.500 0.500
In: 0.750 0.750 0.750
Ag: 0.250 0.250 0.250
Pm: 0.000 0.000 0.000

Computed properties:
- Magnetic moment: 0.00 μB per atom

# 3
The following is a GGA-PBE calculation of a relaxed structure of PmTmInAg, from Alexandria.

abc: 3.639 3.639 7.801
angles: 90.00 90.00 90.00
Element x y z (fractional)
Pm: 0.000 0.000 0.848
Tm: 0.000 0.000 0.375
In: 0.500 0.500 0.121
Ag: 0.500 0.500 0.583

Computed properties:
- Magnetic moment: 0.00 μB per atom

# 4
The following is a GGA-PBE calculation of a relaxed structure of PmY2In2Ag2, from Alexandria.

abc: 4.869 4.869 9.472
angles: 75.11 75.11 60.00
Element x y z (fractional)
Pm: 0.000 0.000 0.000
Y: 0.127 0.127 0.620
Y: 0.873 0.873 0.380
In: 0.742 0.742 0.775
In: 0.258 0.258 0.225
Ag: 0.598 0.598 0.206
Ag: 0.402 0.402 0.794

Computed properties:
- Magnetic moment: 0.00 μB per atom

# 5
The following is a GGA-PBE calculation of a relaxed structure of PmYInAg, from Alexandria.

abc: 5.326 5.326 5.326
angles: 60.00 60.00 60.00
Element x y z (fractional)
Y: 0.750 0.750 0.750
In: 0.000 0.000 0.000
Ag: 0.500 0.500 0.500
Pm: 0.250 0.250 0.250

Computed properties:
- Magnetic moment: 0.02 μB per atom

# 6
The following is a GGA-PBE calculation of a relaxed structure of PmZnInAg, from Alexandria.

abc: 4.973 4.973 4.973
angles: 60.00 60.00 60.00
Element x y z (fractional)
Zn: 0.750 0.750 0.750
In: 0.500 0.500 0.500
Ag: 0.250 0.250 0.250
Pm: 0.000 0.000 0.000

Computed properties:
- Magnetic moment: 0.00 μB per atom

For each record above, in turn, the calculated formation enthalpy at 0 K values are -0.28 -0.38 -0.40 -0.30 -0.40 -0.35 eV per atom.
For each record above, in turn, the calculated Fermi-level density of states values are 0.70 0.85 0.72 0.71 0.95 0.53 states/eV/atom.